[1]
Material: Ho4HgN
Method: DFT, GGA-PBE
State: optimized geometry

**ΔE_f (raw)**: -494.9 meV per atom
**Size of the total moment**: 0.0 μB/cell
**Space-group type**: No. 65
**DFT total energy**: -0.1832 Ha/atom

Geometry as extended XYZ:
```
6
Lattice="4.5316 -4.7546 0.0000 4.5316 4.7546 0.0000 0.0000 0.0000 3.6687" Properties=species:S:1:pos:R:3 pbc="T T T"
Ho 1.5858 0.0000 1.8344
Ho 4.5316 2.4126 0.0000
Ho 4.5316 -2.4126 0.0000
Ho 7.4774 0.0000 1.8344
Hg 4.5316 0.0000 1.8344
N 0.0000 0.0000 0.0000
```

=====

[2]
Material: HoSc2HgN
Method: DFT, GGA-PBE
State: optimized geometry

**ΔE_f (raw)**: -1020.0 meV per atom
**Size of the total moment**: 0.0 μB/cell
**Space-group type**: No. 123
**DFT total energy**: -0.2276 Ha/atom

Geometry as extended XYZ:
```
5
Lattice="4.4851 0.0000 0.0000 0.0000 4.4851 0.0000 0.0000 0.0000 4.7363" Properties=species:S:1:pos:R:3 pbc="T T T"
Ho 0.0000 0.0000 0.0000
Sc 0.0000 2.2425 2.3682
Sc 2.2425 0.0000 2.3682
Hg 2.2425 2.2425 0.0000
N 0.0000 0.0000 2.3682
```

=====

[3]
Material: Sm2HoHgN
Method: DFT, GGA-PBE
State: optimized geometry

**ΔE_f (raw)**: -854.0 meV per atom
**Size of the total moment**: 0.0 μB/cell
**Space-group type**: No. 123
**DFT total energy**: -0.1978 Ha/atom

Geometry as extended XYZ:
```
5
Lattice="4.9539 0.0000 0.0000 0.0000 4.9539 0.0000 0.0000 0.0000 4.7564" Properties=species:S:1:pos:R:3 pbc="T T T"
Sm 0.0000 2.4770 0.0000
Sm 2.4770 0.0000 0.0000
Ho 0.0000 0.0000 2.3782
Hg 2.4770 2.4770 2.3782
N 0.0000 0.0000 0.0000
```

=====

[4]
Material: TbHo2HgN
Method: DFT, GGA-PBE
State: optimized geometry

**ΔE_f (raw)**: -928.4 meV per atom
**Size of the total moment**: 0.0 μB/cell
**Space-group type**: No. 123
**DFT total energy**: -0.1988 Ha/atom

Geometry as extended XYZ:
```
5
Lattice="4.7737 0.0000 0.0000 0.0000 4.7737 0.0000 0.0000 0.0000 4.8286" Properties=species:S:1:pos:R:3 pbc="T T T"
Tb 0.0000 0.0000 0.0000
Ho 0.0000 2.3869 2.4143
Ho 2.3869 0.0000 2.4143
Hg 2.3869 2.3869 0.0000
N 0.0000 0.0000 2.4143
```

=====

[5]
Material: Tb2HoHgN
Method: DFT, GGA-PBE
State: optimized geometry

**ΔE_f (raw)**: -916.5 meV per atom
**Size of the total moment**: 0.0 μB/cell
**Space-group type**: No. 123
**DFT total energy**: -0.1988 Ha/atom

Geometry as extended XYZ:
```
5
Lattice="4.8319 0.0000 0.0000 0.0000 4.8319 0.0000 0.0000 0.0000 4.7714" Properties=species:S:1:pos:R:3 pbc="T T T"
Tb 0.0000 2.4160 0.0000
Tb 2.4160 0.0000 0.0000
Ho 0.0000 0.0000 2.3857
Hg 2.4160 2.4160 2.3857
N 0.0000 0.0000 0.0000
```

=====

[6]
Material: Ho4TlHgN
Method: DFT, GGA-PBE
State: optimized geometry

**ΔE_f (raw)**: -715.9 meV per atom
**Size of the total moment**: 0.0 μB/cell
**Space-group type**: No. 63
**DFT total energy**: -0.1802 Ha/atom

Geometry as extended XYZ:
```
14
Lattice="3.3952 -7.4578 0.0000 3.3952 7.4578 0.0000 0.0000 0.0000 6.7927" Properties=species:S:1:pos:R:3 pbc="T T T"
Ho 1.6976 3.7289 0.0000
Ho 1.6976 3.7289 3.3964
Ho 3.3952 6.2599 5.0945
Ho 3.3952 1.2950 5.0945
Ho 1.6976 -3.7289 0.0000
Ho 1.6976 -3.7289 3.3964
Ho 3.3952 -1.2950 1.6982
Ho 3.3952 -6.2599 1.6982
Tl 3.3952 1.7380 1.6982
Tl 3.3952 -1.7380 5.0945
Hg 3.3952 5.6907 1.6982
Hg 3.3952 -5.6907 5.0945
N 3.3952 3.7178 5.0945
N 3.3952 -3.7178 1.6982
```

=====

[7]
Material: HoTm2HgN
Method: DFT, GGA-PBE
State: optimized geometry

**ΔE_f (raw)**: -960.8 meV per atom
**Size of the total moment**: 0.0 μB/cell
**Space-group type**: No. 123
**DFT total energy**: -0.1981 Ha/atom

Geometry as extended XYZ:
```
5
Lattice="4.7183 0.0000 0.0000 0.0000 4.7183 0.0000 0.0000 0.0000 4.7678" Properties=species:S:1:pos:R:3 pbc="T T T"
Ho 0.0000 0.0000 0.0000
Tm 0.0000 2.3591 2.3839
Tm 2.3591 0.0000 2.3839
Hg 2.3591 2.3591 0.0000
N 0.0000 0.0000 2.3839
```

=====

[8]
Material: YHo2HgN
Method: DFT, GGA-PBE
State: optimized geometry

**ΔE_f (raw)**: -940.4 meV per atom
**Size of the total moment**: 0.0 μB/cell
**Space-group type**: No. 123
**DFT total energy**: -0.2128 Ha/atom

Geometry as extended XYZ:
```
5
Lattice="4.7756 0.0000 0.0000 0.0000 4.7756 0.0000 0.0000 0.0000 4.8067" Properties=species:S:1:pos:R:3 pbc="T T T"
Y 0.0000 0.0000 0.0000
Ho 0.0000 2.3878 2.4034
Ho 2.3878 0.0000 2.4034
Hg 2.3878 2.3878 0.0000
N 0.0000 0.0000 2.4034
```

=====

[9]
Material: Y2HoHgN
Method: DFT, GGA-PBE
State: optimized geometry

**ΔE_f (raw)**: -940.8 meV per atom
**Size of the total moment**: 0.0 μB/cell
**Space-group type**: No. 123
**DFT total energy**: -0.2266 Ha/atom

Geometry as extended XYZ:
```
5
Lattice="4.8109 0.0000 0.0000 0.0000 4.8109 0.0000 0.0000 0.0000 4.7774" Properties=species:S:1:pos:R:3 pbc="T T T"
Y 0.0000 2.4055 0.0000
Y 2.4055 0.0000 0.0000
Ho 0.0000 0.0000 2.3887
Hg 2.4055 2.4055 2.3887
N 0.0000 0.0000 0.0000
```

=====

[10]
Material: Na4HoHg15
Method: DFT, GGA-PBE
State: optimized geometry

**Size of the total moment**: 0.0 μB/cell
**Space-group type**: No. 123
**DFT total energy**: -0.0341 Ha/atom
**E_form**: -4.2 eV/f.u.

Geometry as extended XYZ:
```
20
Lattice="4.6581 0.0000 0.0000 0.0000 4.6581 0.0000 0.0000 0.0000 23.3432" Properties=species:S:1:pos:R:3 pbc="T T T"
Na 0.0000 0.0000 2.3559
Na 0.0000 0.0000 7.0339
Na 0.0000 0.0000 16.3093
Na 0.0000 0.0000 20.9872
Ho 0.0000 0.0000 11.6716
Hg 0.0000 2.3290 0.0000
Hg 0.0000 2.3290 4.7128
Hg 0.0000 2.3290 9.3889
Hg 0.0000 2.3290 13.9542
Hg 0.0000 2.3290 18.6304
Hg 2.3290 0.0000 0.0000
Hg 2.3290 0.0000 4.7128
Hg 2.3290 0.0000 9.3889
Hg 2.3290 0.0000 13.9542
Hg 2.3290 0.0000 18.6304
Hg 2.3290 2.3290 2.3568
Hg 2.3290 2.3290 7.1029
Hg 2.3290 2.3290 11.6716
Hg 2.3290 2.3290 16.2403
Hg 2.3290 2.3290 20.9864
```

=====

[11]
Material: NaHo2Hg9
Method: DFT, GGA-PBE
State: optimized geometry

**Size of the total moment**: 0.0 μB/cell
**Space-group type**: No. 123
**DFT total energy**: -0.0502 Ha/atom
**E_form**: -3.2 eV/f.u.

Geometry as extended XYZ:
```
12
Lattice="4.5810 0.0000 0.0000 0.0000 4.5810 0.0000 0.0000 0.0000 13.9638" Properties=species:S:1:pos:R:3 pbc="T T T"
Na 0.0000 0.0000 0.0000
Ho 0.0000 0.0000 4.6091
Ho 0.0000 0.0000 9.3547
Hg 0.0000 2.2905 2.3549
Hg 0.0000 2.2905 6.9819
Hg 0.0000 2.2905 11.6089
Hg 2.2905 0.0000 2.3549
Hg 2.2905 0.0000 6.9819
Hg 2.2905 0.0000 11.6089
Hg 2.2905 2.2905 0.0000
Hg 2.2905 2.2905 4.6975
Hg 2.2905 2.2905 9.2663
```

=====

[12]
Material: NaHo2Hg6
Method: DFT, GGA-PBE
State: optimized geometry

**Size of the total moment**: 0.0 μB/cell
**Space-group type**: No. 12
**DFT total energy**: -0.0572 Ha/atom
**E_form**: -1.7 eV/f.u.

Geometry as extended XYZ:
```
9
Lattice="5.5341 -4.0809 0.0000 5.5341 4.0809 0.0000 -0.2698 0.0000 5.0227" Properties=species:S:1:pos:R:3 pbc="T T T"
Na 0.0000 0.0000 0.0000
Ho 2.6623 0.0000 2.3164
Ho 8.1362 0.0000 2.7063
Hg 3.7758 1.4397 4.8475
Hg 5.3993 2.3995 2.5114
Hg 7.0227 1.4397 0.1752
Hg 3.7758 -1.4397 4.8475
Hg 5.3993 -2.3995 2.5114
Hg 7.0227 -1.4397 0.1752
```

=====

[13]
Material: NaHo2Hg
Method: DFT, GGA-PBE
State: optimized geometry

**Size of the total moment**: 0.0 μB/cell
**Space-group type**: No. 123
**DFT total energy**: -0.1006 Ha/atom
**E_form**: -0.2 eV/f.u.

Geometry as extended XYZ:
```
4
Lattice="5.2120 0.0000 0.0000 0.0000 5.2120 0.0000 0.0000 0.0000 3.9388" Properties=species:S:1:pos:R:3 pbc="T T T"
Na 0.0000 0.0000 0.0000
Ho 0.0000 2.6060 1.9694
Ho 2.6060 0.0000 1.9694
Hg 2.6060 2.6060 0.0000
```

=====

[14]
Material: Na2HoHg5
Method: DFT, GGA-PBE
State: optimized geometry

**Size of the total moment**: 0.0 μB/cell
**Space-group type**: No. 139
**DFT total energy**: -0.0496 Ha/atom
**E_form**: -2.1 eV/f.u.

Geometry as extended XYZ:
```
8
Lattice="-2.3319 2.3319 9.0307 2.3319 -2.3319 9.0307 2.3319 2.3319 -9.0307" Properties=species:S:1:pos:R:3 pbc="T T T"
Na 0.0000 0.0000 4.5175
Na 0.0000 0.0000 13.5439
Ho 0.0000 0.0000 0.0000
Hg 2.3319 0.0000 2.2696
Hg 2.3319 0.0000 6.7611
Hg 0.0000 0.0000 9.0307
Hg 0.0000 2.3319 2.2696
Hg 0.0000 2.3319 6.7611
```

=====

[15]
Material: NaHoHg4
Method: DFT, GGA-PBE
State: optimized geometry

**Size of the total moment**: 0.0 μB/cell
**Space-group type**: No. 11
**DFT total energy**: -0.0526 Ha/atom
**E_form**: -1.5 eV/f.u.

Geometry as extended XYZ:
```
12
Lattice="4.6358 0.0000 0.0000 0.0000 8.6562 0.0000 -2.2780 0.0000 7.4116" Properties=species:S:1:pos:R:3 pbc="T T T"
Na 0.0144 2.1641 2.2344
Na 2.3434 6.4922 5.1772
Ho 0.0100 6.4922 2.3340
Ho 2.3478 2.1641 5.0777
Hg 0.0000 0.0000 0.0000
Hg 0.0000 4.3281 0.0000
Hg 0.0210 4.3573 4.7915
Hg 0.0210 8.6271 4.7915
Hg 0.0303 2.1641 7.3271
Hg 2.3274 6.4922 0.0845
Hg 2.3368 0.0292 2.6201
Hg 2.3368 4.2990 2.6201
```

=====

[16]
Material: NaHo2Hg4
Method: DFT, GGA-PBE
State: optimized geometry

**Size of the total moment**: 0.0 μB/cell
**Space-group type**: No. 166
**DFT total energy**: -0.0696 Ha/atom
**E_form**: -1.6 eV/f.u.

Geometry as extended XYZ:
```
7
Lattice="2.5354 1.4638 8.2953 -2.5354 1.4638 8.2953 0.0000 -2.9276 8.2953" Properties=species:S:1:pos:R:3 pbc="T T T"
Na 0.0000 0.0000 0.0000
Ho 0.0000 0.0000 6.2050
Ho 0.0000 0.0000 18.6808
Hg 0.0000 0.0000 3.1603
Hg 0.0000 0.0000 9.3823
Hg 0.0000 0.0000 15.5035
Hg 0.0000 0.0000 21.7254
```

=====

[17]
Material: Na2HoHg
Method: DFT, GGA-PBE
State: optimized geometry

**Size of the total moment**: 0.0 μB/cell
**Space-group type**: No. 166
**DFT total energy**: -0.0649 Ha/atom
**E_form**: 0.5 eV/f.u.

Geometry as extended XYZ:
```
4
Lattice="1.7067 0.9853 11.8974 -1.7067 0.9853 11.8974 0.0000 -1.9707 11.8974" Properties=species:S:1:pos:R:3 pbc="T T T"
Na 0.0000 0.0000 3.3688
Na 0.0000 0.0000 32.3234
Ho 0.0000 0.0000 0.0000
Hg 0.0000 0.0000 17.8461
```

=====

[18]
Material: NaHoHg
Method: DFT, GGA-PBE
State: optimized geometry

**Size of the total moment**: 0.0 μB/cell
**Space-group type**: No. 11
**DFT total energy**: -0.0837 Ha/atom
**E_form**: -0.6 eV/f.u.

Geometry as extended XYZ:
```
6
Lattice="4.8109 0.0000 0.0000 0.0000 3.8276 0.0000 -0.0088 0.0000 8.8231" Properties=species:S:1:pos:R:3 pbc="T T T"
Na 1.2019 0.9569 0.1283
Na 3.6002 2.8707 8.6948
Ho 1.2001 2.8707 3.3039
Ho 3.6020 0.9569 5.5191
Hg 1.1970 2.8707 6.3495
Hg 3.6051 0.9569 2.4735
```

=====

[19]
Material: NaHo2Hg
Method: DFT, GGA-PBE
State: optimized geometry

**Size of the total moment**: 0.0 μB/cell
**Space-group type**: No. 166
**DFT total energy**: -0.0975 Ha/atom
**E_form**: 0.2 eV/f.u.

Geometry as extended XYZ:
```
4
Lattice="1.7646 1.0188 11.7856 -1.7646 1.0188 11.7856 0.0000 -2.0376 11.7856" Properties=species:S:1:pos:R:3 pbc="T T T"
Na 0.0000 0.0000 0.0000
Ho 0.0000 0.0000 3.5022
Ho 0.0000 0.0000 31.8546
Hg 0.0000 0.0000 17.6784
```

=====

[20]
Material: NaHoHg6
Method: DFT, GGA-PBE
State: optimized geometry

**Size of the total moment**: 0.0 μB/cell
**Space-group type**: No. 187
**DFT total energy**: -0.0448 Ha/atom
**E_form**: -2.0 eV/f.u.

Geometry as extended XYZ:
```
8
Lattice="6.5761 0.0000 0.0000 -3.2881 5.6951 0.0000 0.0000 0.0000 5.1665" Properties=species:S:1:pos:R:3 pbc="T T T"
Na 0.0000 0.0000 0.0000
Ho 0.0000 3.7967 2.5832
Hg 1.6492 0.9521 2.5832
Hg 3.2881 0.0064 0.0000
Hg 1.6496 2.8443 0.0000
Hg 4.9270 0.9521 2.5832
Hg 3.2881 3.7908 2.5832
Hg 4.9266 2.8443 0.0000
```

=====

[21]
Material: NaHoHg3
Method: DFT, GGA-PBE
State: optimized geometry

**Size of the total moment**: 0.0 μB/cell
**Space-group type**: No. 63
**DFT total energy**: -0.0525 Ha/atom
**E_form**: -0.3 eV/f.u.

Geometry as extended XYZ:
```
10
Lattice="3.9247 -6.1467 0.0000 3.9247 6.1467 0.0000 0.0000 0.0000 5.4126" Properties=species:S:1:pos:R:3 pbc="T T T"
Na 0.0000 0.0000 0.0000
Na 0.0000 0.0000 2.7063
Ho 3.9247 1.8720 4.0594
Ho 3.9247 -1.8720 1.3531
Hg 3.9247 3.5818 1.3531
Hg 2.3986 0.9836 1.3531
Hg 2.3986 -0.9836 4.0594
Hg 5.4507 0.9836 1.3531
Hg 5.4507 -0.9836 4.0594
Hg 3.9247 -3.5818 4.0594
```

=====

[22]
Material: NaHoHg4
Method: DFT, GGA-PBE
State: optimized geometry

**Size of the total moment**: 0.0 μB/cell
**Space-group type**: No. 12
**DFT total energy**: -0.0542 Ha/atom
**E_form**: -1.7 eV/f.u.

Geometry as extended XYZ:
```
6
Lattice="5.2498 -1.9230 0.0000 5.2498 1.9230 0.0000 -2.9793 0.0000 7.2676" Properties=species:S:1:pos:R:3 pbc="T T T"
Na 0.0000 0.0000 0.0000
Ho -1.4897 0.0000 3.6338
Hg 2.9693 0.0000 1.2192
Hg 1.5385 0.0000 4.8325
Hg 5.9818 0.0000 2.4351
Hg 4.5510 0.0000 6.0484
```

=====

[23]
Material: Na3HoHg4
Method: DFT, GGA-PBE
State: optimized geometry

**Size of the total moment**: 0.0 μB/cell
**Space-group type**: No. 123
**DFT total energy**: -0.0550 Ha/atom
**E_form**: -2.2 eV/f.u.

Geometry as extended XYZ:
```
8
Lattice="3.6863 0.0000 0.0000 0.0000 3.6863 0.0000 0.0000 0.0000 15.1578" Properties=species:S:1:pos:R:3 pbc="T T T"
Na 0.0000 0.0000 0.0000
Na 0.0000 0.0000 3.8303
Na 0.0000 0.0000 11.3275
Ho 0.0000 0.0000 7.5789
Hg 1.8432 1.8432 1.8559
Hg 1.8432 1.8432 5.7813
Hg 1.8432 1.8432 9.3765
Hg 1.8432 1.8432 13.3019
```

=====

[24]
Material: NaHo5Hg6
Method: DFT, GGA-PBE
State: optimized geometry

**Size of the total moment**: 0.0 μB/cell
**Space-group type**: No. 65
**DFT total energy**: -0.0958 Ha/atom
**E_form**: -5.3 eV/f.u.

Geometry as extended XYZ:
```
12
Lattice="2.6119 -7.8368 0.0000 2.6119 7.8368 0.0000 0.0000 0.0000 7.3787" Properties=species:S:1:pos:R:3 pbc="T T T"
Na 0.0000 0.0000 0.0000
Ho 0.0000 0.0000 3.6893
Ho 2.6119 2.5996 3.6893
Ho 2.6119 2.5508 0.0000
Ho 2.6119 -2.5508 0.0000
Ho 2.6119 -2.5996 3.6893
Hg 2.6119 5.2015 1.8377
Hg 2.6119 5.2015 5.5410
Hg 2.6119 0.0000 1.8825
Hg 2.6119 0.0000 5.4962
Hg 2.6119 -5.2015 1.8377
Hg 2.6119 -5.2015 5.5410
```

=====

[25]
Material: Na2HoHg7
Method: DFT, GGA-PBE
State: optimized geometry

**Size of the total moment**: 0.0 μB/cell
**Space-group type**: No. 156
**DFT total energy**: -0.0410 Ha/atom
**E_form**: -1.8 eV/f.u.

Geometry as extended XYZ:
```
10
Lattice="5.1325 0.0000 0.0000 -2.5663 4.4449 0.0000 0.0000 0.0000 11.8224" Properties=species:S:1:pos:R:3 pbc="T T T"
Na 0.0000 0.0000 0.0000
Na 0.0000 2.9633 7.0211
Ho 2.5663 1.4816 4.3652
Hg 0.0000 0.0000 2.9766
Hg 0.0000 0.0000 5.9131
Hg 0.0000 0.0000 8.8765
Hg 0.0000 2.9633 3.4987
Hg 0.0000 2.9633 10.5199
Hg 2.5663 1.4816 1.2026
Hg 2.5663 1.4816 7.5637
```